[1]
## Hf2CuPbO (GGA-PBE)

Data for crystalline Hf2CuPbO at its relaxed geometry.

The calculation puts the total moment at 0.0 μB per cell. As for the formation energy from raw total energies: -0.678 eV per atom.

abc: 4.3336 4.3336 4.6353
angles: 90.00 90.00 90.00
Last column: nearest neighbours and their distance in Å.
Space group P4/mmm (No. 123)
Symmetry-distinct sites (fractional):
Hf 0.0000 0.5000 0.0000 [2 per cell]  2 O 2.17
Cu 0.0000 0.0000 0.5000 [1 per cell]  2 O 2.32
Pb 0.5000 0.5000 0.5000 [1 per cell]  4 Cu 3.06, 8 Hf 3.17
O 0.0000 0.0000 0.0000 [1 per cell]  4 Hf 2.17, 2 Cu 2.32

[2]
## HfCu2Pb2O6 (GGA-PBE)

Data for crystalline HfCu2Pb2O6 at its relaxed geometry.

The calculation puts the total moment at 6.1 μB per cell. As for the formation energy from raw total energies: -1.398 eV per atom.

abc: 5.9704 5.9704 16.1194
angles: 90.00 90.00 120.00
Last column: nearest neighbours and their distance in Å.
Space group R-3m (No. 166, hexagonal axes)
Symmetry-distinct sites (fractional):
Hf 0.0000 0.0000 0.0000 [3 per cell]  6 O 2.09
Cu 0.0000 0.0000 0.4171 [6 per cell]  3 O 1.87
Pb 0.0000 0.0000 0.2021 [6 per cell]  3 O 2.46
O 0.0283 0.5142 0.7516 [18 per cell]  1 Cu 1.87, 1 Hf 2.09

[3]
## PuHfCuO6 (GGA-PBE)

Data for crystalline PuHfCuO6 at its relaxed geometry.

The calculation puts the total moment at 2.0 μB per cell. As for the formation energy from raw total energies: -2.225 eV per atom.

abc: 5.4767 5.4767 8.9664
angles: 90.00 90.00 120.00
Last column: nearest neighbours and their distance in Å.
Space group P-31c (No. 163)
Symmetry-distinct sites (fractional):
Pu 0.3333 0.6667 0.2500 [2 per cell]  6 O 2.05
Hf 0.3333 0.6667 0.7500 [2 per cell]  6 O 2.09
Cu 0.0000 0.0000 0.0000 [2 per cell]  6 O 2.25
O 0.0062 0.3527 0.1324 [12 per cell]  1 Pu 2.05, 1 Hf 2.09, 1 Cu 2.25

[4]
## RbHfCu2O (GGA-PBE)

Data for crystalline RbHfCu2O at its relaxed geometry.

The calculation puts the total moment at 0.3 μB per cell. As for the formation energy from raw total energies: 1.269 eV per atom.

abc: 4.8743 4.8743 8.8748
angles: 90.00 90.00 90.00
Last column: nearest neighbours and their distance in Å.
Space group P4/mmm (No. 123)
Symmetry-distinct sites (fractional):
Rb 0.0000 0.0000 0.0000 [1 per cell]  4 O 3.45
Hf 0.0000 0.0000 0.5000 [1 per cell]  4 Cu 2.44
Cu 0.0000 0.5000 0.5000 [2 per cell]  2 Hf 2.44
O 0.5000 0.5000 0.0000 [1 per cell]  4 Rb 3.45

Uncorrected energy values, unit eV/atom, following the record order: -7.21; -6.43; -8.68; -3.54.